A geometry-optimized Y6Al7Cu16 structure. Source: Alexandria, functional GGA-PBEsol.

Cell lengths 8.6031, 8.6031, 8.6031 Å; angles 60.00, 60.00, 60.00 degrees
Fractional coordinates of all 29 atoms:
Al 0.0000 0.0000 0.0000
Al 0.5000 0.0000 0.0000
Al 0.0000 0.5000 0.0000
Al 0.0000 0.5000 0.5000
Al 0.0000 0.0000 0.5000
Al 0.5000 0.5000 0.0000
Al 0.5000 0.0000 0.5000
Y 0.7126 0.2874 0.2874
Y 0.7126 0.2874 0.7126
Y 0.2874 0.7126 0.7126
Y 0.7126 0.7126 0.2874
Y 0.2874 0.7126 0.2874
Y 0.2874 0.2874 0.7126
Cu 0.3259 0.0223 0.3259
Cu 0.3662 0.8779 0.8779
Cu 0.6741 0.9777 0.6741
Cu 0.6741 0.6741 0.9777
Cu 0.3259 0.3259 0.3259
Cu 0.1221 0.6338 0.1221
Cu 0.8779 0.8779 0.3662
Cu 0.8779 0.8779 0.8779
Cu 0.0223 0.3259 0.3259
Cu 0.6338 0.1221 0.1221
Cu 0.1221 0.1221 0.6338
Cu 0.8779 0.3662 0.8779
Cu 0.9777 0.6741 0.6741
Cu 0.6741 0.6741 0.6741
Cu 0.1221 0.1221 0.1221
Cu 0.3259 0.3259 0.0223

Electronic total energy = -5.175 eV per atom
Theoretical density = 6.414 Mg/m³
Energy relative to the elements = -0.385 eV per atom
Size of the total moment = 0.00 μB/f.u.